1.
YRh2W PBE optimized geometry; ΔE to the lowest computed polymorph = 383 meV/atom; magnetic moment = 0.00 μB per formula unit
1.0
1.478 0.853 9.168
-1.478 0.853 9.168
0.000 -1.706 9.168
Y Rh W
1 2 1
Direct
0.000 0.000 0.000
0.243 0.243 0.243
0.757 0.757 0.757
0.500 0.500 0.500

---

2.
Y3RhW PBE optimized geometry; ΔE to the lowest computed polymorph = 190 meV/atom; magnetic moment = 0.00 μB per formula unit
1.0
5.278 0.000 0.000
0.000 5.278 0.000
0.000 0.000 5.278
Y Rh W
3 1 1
Direct
0.000 0.000 0.500
0.000 0.500 0.000
0.500 0.000 0.000
0.500 0.500 0.500
0.000 0.000 0.000

---

- Which formula does entry 2 have?
  Y3RhW

---

- Which of these has the highest ΔE to the lowest computed polymorph?
  YRh2W

---

- Which of these has the lowest ΔE to the lowest computed polymorph?
  Y3RhW